Material: RbDyTm
Method: DFT, PBE
State: optimized geometry

Its distance to the lowest polymorph of the same formula is 0.0 meV/atom. The value obtained for the total energy is -25.2 eV per cell.

The structure belongs to space group F-43m (No. 216); the cell edges are 8.3721, 8.3721 and 8.3721 Å and the angles 90.00°, 90.00° and 90.00°. The distinct sites, in fractional coordinates, are Rb at (0.0000, 0.0000, 0.0000), Dy at (0.0000, 0.0000, 0.5000) and Tm at (0.2500, 0.2500, 0.7500).